No. 1
Computed, not measured: crystalline TiPd3 at its relaxed geometry at the GGA-PBEsol level of DFT.

Lattice parameters (Å, degrees): 3.862 3.862 3.862 90.00 90.00 90.00
Space group Pm-3m (No. 221)
Asymmetric unit:
1 Ti 0.000 0.000 0.000 x1
2 Pd 0.000 0.500 0.500 x3

Summary:
E_tot ... -7.22 eV/atom
Spin magnetization ... 0.00 μB/f.u.

=====

No. 2
Computed, not measured: crystalline SrZrTl2 at its relaxed geometry at the GGA-PBEsol level of DFT.

Lattice parameters (Å, degrees): 4.935 4.935 8.556 90.00 90.00 90.00
Space group I4/mmm (No. 139)
Asymmetric unit:
1 Sr 0.000 0.000 0.000 x2
2 Zr 0.000 0.000 0.500 x2
3 Tl 0.000 0.500 0.250 x4

Summary:
E_tot ... -4.09 eV/atom
Spin magnetization ... 0.74 μB/f.u.

=====

No. 3
Computed, not measured: crystalline Cd2ReAgPb at its relaxed geometry at the GGA-PBEsol level of DFT.

Lattice parameters (Å, degrees): 5.127 5.127 4.990 90.00 90.00 90.00
Space group P4/mmm (No. 123)
Asymmetric unit:
1 Cd 0.000 0.500 0.000 x2
2 Re 0.000 0.000 0.000 x1
3 Ag 0.000 0.000 0.500 x1
4 Pb 0.500 0.500 0.500 x1

Summary:
E_tot ... -3.45 eV/atom
Spin magnetization ... 0.00 μB/f.u.

=====

No. 4
Computed, not measured: crystalline NaLiCl2 at its relaxed geometry at the GGA-PBEsol level of DFT.

Lattice parameters (Å, degrees): 6.474 6.474 8.471 90.00 90.00 90.00
Space group I-42d (No. 122)
Asymmetric unit:
1 Na 0.000 0.000 0.000 x4
2 Li 0.000 0.000 0.500 x4
3 Cl 0.210 0.750 0.625 x8

Summary:
ΔE_f (raw) ... -1.753 eV per atom
Spin magnetization ... 0.00 μB/f.u.

=====

No. 5
Computed, not measured: crystalline Li2RePd at its relaxed geometry at the GGA-PBEsol level of DFT.

Lattice parameters (Å, degrees): 5.870 5.870 5.870 90.00 90.00 90.00
Space group Fm-3m (No. 225)
Asymmetric unit:
1 Li 0.250 0.250 0.250 x8
2 Re 0.000 0.000 0.000 x4
3 Pd 0.000 0.000 0.500 x4

Summary:
E_tot ... -5.15 eV/atom
Spin magnetization ... 2.17 μB/f.u.

=====

No. 6
Computed, not measured: crystalline CaCd2Cl at its relaxed geometry at the GGA-PBEsol level of DFT.

Lattice parameters (Å, degrees): 4.008 4.008 6.217 90.00 90.00 90.00
Space group P4/mmm (No. 123)
Asymmetric unit:
1 Ca 0.000 0.000 0.000 x1
2 Cd 0.000 0.500 0.500 x2
3 Cl 0.500 0.500 0.000 x1

Summary:
ΔE_f (raw) ... -0.703 eV per atom
Spin magnetization ... 0.00 μB/f.u.

=====

- Look up the spin magnetization of the second one.
  0.74 μB/f.u.

=====

- spin magnetization of number 5 (Li2RePd)?
  2.17 μB/f.u.